Material: PmBBr2
Method: DFT, PBE
State: relaxed

Unit cell a=3.7742 b=3.7742 c=10.0238 alpha=79.95 beta=79.43 gamma=60.00
Positions (direct):
Pm (0.0000, 0.0000, 0.0000)
B (0.5110, 0.5344, 0.4546)
Br (0.4029, 0.3934, 0.7958)
Br (0.5947, 0.6048, 0.2113)

E_tot: -3.571 eV/atom
Formation energy (no corrections): 0.123 eV/atom